The following is a DFT calculation (GGA-PBE) of an optimized crystal structure of TlRhSe2.

Cell and atoms, written as extended XYZ:
```
8
Lattice="1.587 -13.635 0.000 1.587 13.635 0.000 0.000 0.000 4.463" Properties=species:S:1:pos:R:3 pbc="T T T"
Tl 1.587 12.182 3.347
Tl 1.587 -12.182 1.116
Rh 1.587 5.327 3.347
Rh 1.587 -5.327 1.116
Se 1.587 10.203 1.116
Se 1.587 7.817 3.347
Se 1.587 -7.817 1.116
Se 1.587 -10.203 3.347
```

Output
**Calculated density**: 8.00 g/cm³
**Spin magnetization**: 0.0 μB per cell
**Energy relative to the elements, uncorrected**: -0.11 eV/atom
**Final energy**: -4.2823 eV per atom